No. 1
## Tl2Ag5Se4 (PBE-GGA)

Data for crystalline Tl2Ag5Se4 at its relaxed geometry.

abc: 9.9391 7.8304 7.3927
angles: 81.47 51.18 47.35
Fractional positions:
Tl (0.1727, 0.1727, 0.8273)
Tl (0.8273, 0.8273, 0.1727)
Ag (0.0000, 0.0000, 0.5000)
Ag (0.2500, 0.2500, 0.2500)
Ag (0.5000, 0.5000, 0.0000)
Ag (0.5000, 0.5000, 0.5000)
Ag (0.7500, 0.7500, 0.7500)
Se (0.2308, 0.5148, 0.4852)
Se (0.4852, 0.7692, 0.2308)
Se (0.5148, 0.2308, 0.7692)
Se (0.7692, 0.4852, 0.5148)

## Properties
size of the total moment: 0.00 μB per formula unit
raw formation energy: -89 meV/atom
calculated volume: 26.3 Å³ per atom

---

No. 2
## TlAg2Se (PBE-GGA)

Data for crystalline TlAg2Se at its relaxed geometry.

abc: 6.4334 9.3322 4.3540
angles: 90.00 132.14 90.00
Fractional positions:
Tl (0.0000, 0.0000, 0.0000)
Tl (0.5000, 0.5000, 0.0000)
Ag (0.2500, 0.2500, 0.5000)
Ag (0.2500, 0.7500, 0.5000)
Ag (0.7500, 0.2500, 0.5000)
Ag (0.7500, 0.7500, 0.5000)
Se (0.0000, 0.5000, 0.0000)
Se (0.5000, 0.0000, 0.0000)

## Properties
size of the total moment: 0.00 μB per formula unit
raw formation energy: 97 meV/atom
calculated volume: 24.2 Å³ per atom

---

No. 3
## TlAg12Se6 (PBE-GGA)

Data for crystalline TlAg12Se6 at its relaxed geometry.

abc: 7.6815 7.6815 7.6815
angles: 96.50 96.50 96.50
Fractional positions:
Tl (0.0000, 0.0000, 0.0000)
Ag (0.1104, 0.3803, 0.3803)
Ag (0.2326, 0.5000, 0.7674)
Ag (0.2326, 0.7674, 0.5000)
Ag (0.3803, 0.1104, 0.3803)
Ag (0.3803, 0.3803, 0.1104)
Ag (0.5000, 0.2326, 0.7674)
Ag (0.5000, 0.7674, 0.2326)
Ag (0.6197, 0.6197, 0.8896)
Ag (0.6197, 0.8896, 0.6197)
Ag (0.7674, 0.2326, 0.5000)
Ag (0.7674, 0.5000, 0.2326)
Ag (0.8896, 0.6197, 0.6197)
Se (0.1678, 0.1678, 0.6133)
Se (0.1678, 0.6133, 0.1678)
Se (0.3867, 0.8322, 0.8322)
Se (0.6133, 0.1678, 0.1678)
Se (0.8322, 0.3867, 0.8322)
Se (0.8322, 0.8322, 0.3867)

## Properties
size of the total moment: 0.00 μB per formula unit
raw formation energy: -54 meV/atom
calculated volume: 23.4 Å³ per atom

---

No. 4
## Tl4AgSe4 (PBE-GGA)

Data for crystalline Tl4AgSe4 at its relaxed geometry.

abc: 7.4966 7.4966 7.4966
angles: 120.00 120.00 90.01
Fractional positions:
Tl (0.0000, 0.5000, 0.5000)
Tl (0.1979, 0.1979, 0.0000)
Tl (0.5000, 0.0000, 0.5000)
Tl (0.8021, 0.8021, 0.0000)
Ag (0.5000, 0.5000, 0.0000)
Se (0.1571, 0.1571, 0.5507)
Se (0.3936, 0.8429, 0.0000)
Se (0.6064, 0.6064, 0.4493)
Se (0.8429, 0.3936, 0.0000)

## Properties
size of the total moment: 0.00 μB per formula unit
raw formation energy: -179 meV/atom
calculated volume: 33.1 Å³ per atom

---

No. 5
## TlAg2Se (PBE-GGA)

Data for crystalline TlAg2Se at its relaxed geometry.

abc: 4.0696 4.0992 5.7031
angles: 90.00 94.72 90.00
Fractional positions:
Tl (0.0000, 0.0000, 0.0000)
Ag (0.4686, 0.0000, 0.4378)
Ag (0.9586, 0.5000, 0.4273)
Se (0.4926, 0.5000, 0.7673)

## Properties
size of the total moment: 0.00 μB per formula unit
raw formation energy: 50 meV/atom
calculated volume: 23.7 Å³ per atom

---

No. 6
## Tl3AgSe6 (PBE-GGA)

Data for crystalline Tl3AgSe6 at its relaxed geometry.

abc: 8.5938 8.5938 8.5938
angles: 103.87 103.87 103.87
Fractional positions:
Tl (0.1610, 0.7500, 0.3390)
Tl (0.2500, 0.6610, 0.8390)
Tl (0.3390, 0.1610, 0.7500)
Tl (0.6610, 0.8390, 0.2500)
Tl (0.7500, 0.3390, 0.1610)
Tl (0.8390, 0.2500, 0.6610)
Ag (0.0000, 0.0000, 0.0000)
Ag (0.5000, 0.5000, 0.5000)
Se (0.0067, 0.1094, 0.3296)
Se (0.1094, 0.3296, 0.0067)
Se (0.1704, 0.3906, 0.4933)
Se (0.3296, 0.0067, 0.1094)
Se (0.3906, 0.4933, 0.1704)
Se (0.4933, 0.1704, 0.3906)
Se (0.5067, 0.8296, 0.6094)
Se (0.6094, 0.5067, 0.8296)
Se (0.6704, 0.9933, 0.8906)
Se (0.8296, 0.6094, 0.5067)
Se (0.8906, 0.6704, 0.9933)
Se (0.9933, 0.8906, 0.6704)

## Properties
size of the total moment: 0.00 μB per formula unit
raw formation energy: -126 meV/atom
calculated volume: 28.4 Å³ per atom

---

No. 7
## TlAg2Se (PBE-GGA)

Data for crystalline TlAg2Se at its relaxed geometry.

abc: 2.9898 4.0483 7.5331
angles: 90.00 90.00 90.00
Fractional positions:
Tl (0.0000, 0.0000, 0.0000)
Ag (0.0000, 0.0000, 0.4803)
Ag (0.5000, 0.5000, 0.2797)
Se (0.5000, 0.5000, 0.6832)

## Properties
size of the total moment: 0.00 μB per formula unit
raw formation energy: 95 meV/atom
calculated volume: 22.8 Å³ per atom

---

No. 8
## TlAg2Se (PBE-GGA)

Data for crystalline TlAg2Se at its relaxed geometry.

abc: 3.9149 3.9149 5.7767
angles: 90.00 90.00 90.00
Fractional positions:
Tl (0.0000, 0.0000, 0.0000)
Ag (0.0000, 0.0000, 0.4976)
Ag (0.5000, 0.5000, 0.2733)
Se (0.5000, 0.5000, 0.7385)

## Properties
size of the total moment: 0.00 μB per formula unit
raw formation energy: 85 meV/atom
calculated volume: 22.1 Å³ per atom

---

No. 9
## Tl2Ag5Se3 (PBE-GGA)

Data for crystalline Tl2Ag5Se3 at its relaxed geometry.

abc: 13.1395 13.1395 7.8448
angles: 90.14 90.14 159.80
Fractional positions:
Tl (0.0104, 0.9896, 0.5000)
Tl (0.3138, 0.6621, 0.5388)
Tl (0.6621, 0.3138, 0.0388)
Tl (0.9896, 0.0104, 0.0000)
Ag (0.1017, 0.8912, 0.1610)
Ag (0.1975, 0.7760, 0.2985)
Ag (0.2096, 0.7899, 0.7275)
Ag (0.4275, 0.5344, 0.2633)
Ag (0.5344, 0.4275, 0.7633)
Ag (0.5569, 0.8060, 0.9791)
Ag (0.7760, 0.1975, 0.7985)
Ag (0.7899, 0.2096, 0.2275)
Ag (0.8060, 0.5569, 0.4791)
Ag (0.8912, 0.1017, 0.6610)
Se (0.0870, 0.8734, 0.7838)
Se (0.2509, 0.6958, 0.0000)
Se (0.4387, 0.5473, 0.7451)
Se (0.5473, 0.4387, 0.2451)
Se (0.6958, 0.2509, 0.5000)
Se (0.8734, 0.0870, 0.2838)

## Properties
size of the total moment: 0.00 μB per formula unit
raw formation energy: -91 meV/atom
calculated volume: 23.4 Å³ per atom

---

No. 10
## Tl2AgSe (PBE-GGA)

Data for crystalline Tl2AgSe at its relaxed geometry.

abc: 4.0004 3.9542 6.5610
angles: 90.00 95.87 90.00
Fractional positions:
Tl (0.0046, 0.0000, 0.2516)
Tl (0.9954, 0.0000, 0.7484)
Ag (0.5000, 0.5000, 0.0000)
Se (0.5000, 0.5000, 0.5000)

## Properties
size of the total moment: 0.00 μB per formula unit
offset from the most stable computed form: 126 meV per atom
raw formation energy: -2 meV/atom
calculated volume: 25.8 Å³ per atom

---

No. 11
## Tl3AgSe2 (PBE-GGA)

Data for crystalline Tl3AgSe2 at its relaxed geometry.

abc: 9.0308 9.0308 12.0563
angles: 122.91 122.91 28.19
Fractional positions:
Tl (0.0526, 0.0526, 0.2461)
Tl (0.2391, 0.2391, 0.6484)
Tl (0.3557, 0.3557, 0.0061)
Tl (0.6443, 0.6443, 0.9939)
Tl (0.7609, 0.7609, 0.3516)
Tl (0.9474, 0.9474, 0.7539)
Ag (0.4274, 0.4274, 0.3538)
Ag (0.5726, 0.5726, 0.6462)
Se (0.1455, 0.1455, 0.8151)
Se (0.3857, 0.3857, 0.5429)
Se (0.6143, 0.6143, 0.4571)
Se (0.8545, 0.8545, 0.1849)

## Properties
size of the total moment: 0.00 μB per formula unit
raw formation energy: -288 meV/atom
calculated volume: 32.1 Å³ per atom

---

No. 12
## Tl4Ag5Se6 (PBE-GGA)

Data for crystalline Tl4Ag5Se6 at its relaxed geometry.

abc: 10.1490 10.1490 17.6050
angles: 90.00 90.00 153.83
Fractional positions:
Tl (0.0075, 0.9925, 0.5000)
Tl (0.0079, 0.9921, 0.7574)
Tl (0.1800, 0.8200, 0.3061)
Tl (0.1805, 0.8195, 0.9508)
Tl (0.8195, 0.1805, 0.4508)
Tl (0.8200, 0.1800, 0.8061)
Tl (0.9921, 0.0079, 0.2574)
Tl (0.9925, 0.0075, 0.0000)
Ag (0.1388, 0.8612, 0.6286)
Ag (0.2851, 0.7149, 0.6284)
Ag (0.3601, 0.6399, 0.2653)
Ag (0.3605, 0.6395, 0.9920)
Ag (0.4342, 0.5658, 0.6288)
Ag (0.5658, 0.4342, 0.1288)
Ag (0.6395, 0.3605, 0.4920)
Ag (0.6399, 0.3601, 0.7653)
Ag (0.7149, 0.2851, 0.1284)
Ag (0.8612, 0.1388, 0.1286)
Se (0.1330, 0.8670, 0.1284)
Se (0.2149, 0.7851, 0.4959)
Se (0.2152, 0.7848, 0.7612)
Se (0.4335, 0.5665, 0.1288)
Se (0.4390, 0.5610, 0.3910)
Se (0.4393, 0.5607, 0.8663)
Se (0.5607, 0.4393, 0.3663)
Se (0.5610, 0.4390, 0.8910)
Se (0.5665, 0.4335, 0.6288)
Se (0.7848, 0.2152, 0.2612)
Se (0.7851, 0.2149, 0.9959)
Se (0.8670, 0.1330, 0.6284)

## Properties
size of the total moment: 0.00 μB per formula unit
raw formation energy: -181 meV/atom
calculated volume: 26.7 Å³ per atom

---

No. 13
## Tl2Ag2Se (PBE-GGA)

Data for crystalline Tl2Ag2Se at its relaxed geometry.

abc: 8.8825 8.8825 3.0867
angles: 90.00 90.00 90.00
Fractional positions:
Tl (0.1914, 0.3086, 0.0000)
Tl (0.3086, 0.8086, 0.0000)
Tl (0.6914, 0.1914, 0.0000)
Tl (0.8086, 0.6914, 0.0000)
Ag (0.1089, 0.6089, 0.5000)
Ag (0.3911, 0.1089, 0.5000)
Ag (0.6089, 0.8911, 0.5000)
Ag (0.8911, 0.3911, 0.5000)
Se (0.0000, 0.0000, 0.0000)
Se (0.5000, 0.5000, 0.0000)

## Properties
size of the total moment: 0.00 μB per formula unit
offset from the most stable computed form: 198 meV per atom
raw formation energy: 173 meV/atom
calculated volume: 24.4 Å³ per atom

---

No. 14
## Tl2AgSe (PBE-GGA)

Data for crystalline Tl2AgSe at its relaxed geometry.

abc: 4.1472 4.1713 13.4967
angles: 90.00 90.00 90.00
Fractional positions:
Tl (0.0000, 0.0000, 0.0000)
Tl (0.0000, 0.5000, 0.2858)
Tl (0.5000, 0.0000, 0.7858)
Tl (0.5000, 0.5000, 0.5000)
Ag (0.0000, 0.5000, 0.7201)
Ag (0.5000, 0.0000, 0.2201)
Se (0.0000, 0.0000, 0.5957)
Se (0.5000, 0.5000, 0.0957)

## Properties
size of the total moment: 0.00 μB per formula unit
offset from the most stable computed form: 33 meV per atom
raw formation energy: -95 meV/atom
calculated volume: 29.2 Å³ per atom

---

No. 15
## Tl4Ag3Se5 (PBE-GGA)

Data for crystalline Tl4Ag3Se5 at its relaxed geometry.

abc: 8.5915 8.5915 8.6290
angles: 118.18 118.18 35.14
Fractional positions:
Tl (0.0871, 0.0871, 0.2543)
Tl (0.1678, 0.1678, 0.8695)
Tl (0.8322, 0.8322, 0.1305)
Tl (0.9129, 0.9129, 0.7457)
Ag (0.2844, 0.2844, 0.6687)
Ag (0.5000, 0.5000, 0.5000)
Ag (0.7156, 0.7156, 0.3313)
Se (0.0000, 0.0000, 0.5000)
Se (0.3158, 0.3158, 0.3868)
Se (0.4301, 0.4301, 0.0167)
Se (0.5699, 0.5699, 0.9833)
Se (0.6842, 0.6842, 0.6132)

## Properties
size of the total moment: 0.00 μB per formula unit
raw formation energy: -178 meV/atom
calculated volume: 26.5 Å³ per atom

---

No. 16
## Tl2AgSe (PBE-GGA)

Data for crystalline Tl2AgSe at its relaxed geometry.

abc: 7.5377 7.5377 7.5377
angles: 90.00 90.00 90.00
Fractional positions:
Tl (0.2500, 0.2500, 0.2500)
Tl (0.2500, 0.2500, 0.7500)
Tl (0.2500, 0.7500, 0.2500)
Tl (0.2500, 0.7500, 0.7500)
Tl (0.7500, 0.2500, 0.2500)
Tl (0.7500, 0.2500, 0.7500)
Tl (0.7500, 0.7500, 0.2500)
Tl (0.7500, 0.7500, 0.7500)
Ag (0.0000, 0.0000, 0.0000)
Ag (0.0000, 0.5000, 0.5000)
Ag (0.5000, 0.0000, 0.5000)
Ag (0.5000, 0.5000, 0.0000)
Se (0.0000, 0.0000, 0.5000)
Se (0.0000, 0.5000, 0.0000)
Se (0.5000, 0.0000, 0.0000)
Se (0.5000, 0.5000, 0.5000)

## Properties
size of the total moment: 0.00 μB per formula unit
offset from the most stable computed form: 154 meV per atom
raw formation energy: 26 meV/atom
calculated volume: 26.8 Å³ per atom

---

No. 17
## TlAg5Se3 (PBE-GGA)

Data for crystalline TlAg5Se3 at its relaxed geometry.

abc: 7.6111 7.6111 13.3208
angles: 90.00 90.00 147.26
Fractional positions:
Tl (0.1841, 0.8159, 0.7500)
Tl (0.8159, 0.1841, 0.2500)
Ag (0.0000, 0.0000, 0.0000)
Ag (0.0000, 0.0000, 0.5000)
Ag (0.1940, 0.8060, 0.0509)
Ag (0.1940, 0.8060, 0.4491)
Ag (0.4357, 0.5643, 0.6407)
Ag (0.4357, 0.5643, 0.8593)
Ag (0.5643, 0.4357, 0.1407)
Ag (0.5643, 0.4357, 0.3593)
Ag (0.8060, 0.1940, 0.5509)
Ag (0.8060, 0.1940, 0.9491)
Se (0.1311, 0.8689, 0.2500)
Se (0.3812, 0.6188, 0.0660)
Se (0.3812, 0.6188, 0.4340)
Se (0.6188, 0.3812, 0.5660)
Se (0.6188, 0.3812, 0.9340)
Se (0.8689, 0.1311, 0.7500)

## Properties
size of the total moment: 0.00 μB per formula unit
raw formation energy: -112 meV/atom
calculated volume: 23.2 Å³ per atom

---

No. 18
## Tl2AgSe (PBE-GGA)

Data for crystalline Tl2AgSe at its relaxed geometry.

abc: 7.0900 7.0900 11.2220
angles: 90.00 90.00 90.00
Fractional positions:
Tl (0.2469, 0.2500, 0.1250)
Tl (0.2500, 0.7469, 0.3750)
Tl (0.2500, 0.7531, 0.8750)
Tl (0.2531, 0.2500, 0.6250)
Tl (0.7469, 0.7500, 0.6250)
Tl (0.7500, 0.2469, 0.8750)
Tl (0.7500, 0.2531, 0.3750)
Tl (0.7531, 0.7500, 0.1250)
Ag (0.0000, 0.0000, 0.0000)
Ag (0.0000, 0.5000, 0.2500)
Ag (0.5000, 0.0000, 0.7500)
Ag (0.5000, 0.5000, 0.5000)
Se (0.0000, 0.0000, 0.5000)
Se (0.0000, 0.5000, 0.7500)
Se (0.5000, 0.0000, 0.2500)
Se (0.5000, 0.5000, 0.0000)

## Properties
size of the total moment: 0.00 μB per formula unit
offset from the most stable computed form: 149 meV per atom
raw formation energy: 21 meV/atom
calculated volume: 35.3 Å³ per atom

---

No. 19
## TlAg8Se6 (PBE-GGA)

Data for crystalline TlAg8Se6 at its relaxed geometry.

abc: 8.7012 8.7012 8.7012
angles: 51.16 51.16 51.16
Fractional positions:
Tl (0.0000, 0.0000, 0.0000)
Ag (0.1174, 0.6295, 0.8223)
Ag (0.1777, 0.8826, 0.3705)
Ag (0.3705, 0.1777, 0.8826)
Ag (0.4184, 0.4184, 0.4184)
Ag (0.5816, 0.5816, 0.5816)
Ag (0.6295, 0.8223, 0.1174)
Ag (0.8223, 0.1174, 0.6295)
Ag (0.8826, 0.3705, 0.1777)
Se (0.0544, 0.4112, 0.7559)
Se (0.2441, 0.9456, 0.5888)
Se (0.4112, 0.7559, 0.0544)
Se (0.5888, 0.2441, 0.9456)
Se (0.7559, 0.0544, 0.4112)
Se (0.9456, 0.5888, 0.2441)

## Properties
size of the total moment: 0.00 μB per formula unit
raw formation energy: -34 meV/atom
calculated volume: 24.6 Å³ per atom

---

No. 20
## TlAg2Se (PBE-GGA)

Data for crystalline TlAg2Se at its relaxed geometry.

abc: 4.6158 4.6158 4.1203
angles: 90.00 90.00 90.00
Fractional positions:
Tl (0.0000, 0.0000, 0.0000)
Ag (0.0000, 0.5000, 0.5000)
Ag (0.5000, 0.0000, 0.5000)
Se (0.5000, 0.5000, 0.0000)

## Properties
size of the total moment: 0.00 μB per formula unit
raw formation energy: 56 meV/atom
calculated volume: 21.9 Å³ per atom

---

No. 21
## Tl2AgSe (PBE-GGA)

Data for crystalline Tl2AgSe at its relaxed geometry.

abc: 5.2209 5.2917 7.8292
angles: 90.00 90.00 90.00
Fractional positions:
Tl (0.0000, 0.0000, 0.0000)
Tl (0.0000, 0.5000, 0.3594)
Tl (0.5000, 0.0000, 0.3594)
Tl (0.5000, 0.5000, 0.0000)
Ag (0.0000, 0.5000, 0.7642)
Ag (0.5000, 0.0000, 0.7642)
Se (0.0000, 0.0000, 0.6028)
Se (0.5000, 0.5000, 0.6028)

## Properties
size of the total moment: 0.00 μB per formula unit
offset from the most stable computed form: 81 meV per atom
raw formation energy: -48 meV/atom
calculated volume: 27.0 Å³ per atom

---

No. 22
## TlAg3Se (PBE-GGA)

Data for crystalline TlAg3Se at its relaxed geometry.

abc: 5.1518 5.1518 5.1518
angles: 90.00 90.00 90.00
Fractional positions:
Tl (0.0000, 0.0000, 0.0000)
Ag (0.0000, 0.5000, 0.5000)
Ag (0.5000, 0.0000, 0.5000)
Ag (0.5000, 0.5000, 0.0000)
Se (0.5000, 0.5000, 0.5000)

## Properties
size of the total moment: 0.00 μB per formula unit
offset from the most stable computed form: 0 meV per atom
raw formation energy: 245 meV/atom
calculated volume: 27.3 Å³ per atom